A relaxed structure of CeTlHgPb. Source: Alexandria, functional PBE-GGA.

## Properties
**ρ**: 10.9 Mg/m³
**Calculated formation energy**: -0.77 eV/f.u.
**Energy relative to the lowest polymorph listed for this composition**: 119 meV/atom
**Total magnetic moment**: 1.07 μB/cell

a = 5.448 Å, b = 5.448 Å, c = 5.448 Å
α = 60.00°, β = 60.00°, γ = 60.00°
Atoms (fractional coordinates):
Ce (0.000, 0.000, 0.000)
Tl (0.750, 0.750, 0.750)
Hg (0.250, 0.250, 0.250)
Pb (0.500, 0.500, 0.500)


A relaxed structure of Ce4TlHgPb2. Source: Alexandria, functional PBE-GGA.

## Properties
**ρ**: 9.7 Mg/m³
**Calculated formation energy**: -2.38 eV/f.u.
**Total magnetic moment**: 4.76 μB/cell

a = 9.540 Å, b = 9.540 Å, c = 9.540 Å
α = 33.60°, β = 33.60°, γ = 33.60°
Atoms (fractional coordinates):
Ce (0.125, 0.125, 0.125)
Ce (0.375, 0.375, 0.375)
Ce (0.625, 0.625, 0.625)
Ce (0.875, 0.875, 0.875)
Tl (0.500, 0.500, 0.500)
Hg (0.000, 0.000, 0.000)
Pb (0.251, 0.251, 0.251)
Pb (0.749, 0.749, 0.749)


A relaxed structure of CeTmHgPb. Source: Alexandria, functional PBE-GGA.

## Properties
**ρ**: 10.8 Mg/m³
**Calculated formation energy**: -1.49 eV/f.u.
**Total magnetic moment**: 1.38 μB/cell

a = 5.584 Å, b = 5.584 Å, c = 5.584 Å
α = 126.08°, β = 126.08°, γ = 79.76°
Atoms (fractional coordinates):
Ce (0.000, 0.000, 0.000)
Tm (0.500, 0.500, 0.000)
Hg (0.250, 0.750, 0.500)
Pb (0.750, 0.250, 0.500)


> Which value of total magnetic moment does entry 3 give?

1.38 μB/cell


> The lowest total magnetic moment belongs to which entry?

CeTlHgPb


> Which value of total magnetic moment does entry 1 give?

1.07 μB/cell


Copy entry 1 word for word.
A relaxed structure of CeTlHgPb. Source: Alexandria, functional PBE-GGA.

## Properties
**ρ**: 10.9 Mg/m³
**Calculated formation energy**: -0.77 eV/f.u.
**Energy relative to the lowest polymorph listed for this composition**: 119 meV/atom
**Total magnetic moment**: 1.07 μB/cell

a = 5.448 Å, b = 5.448 Å, c = 5.448 Å
α = 60.00°, β = 60.00°, γ = 60.00°
Atoms (fractional coordinates):
Ce (0.000, 0.000, 0.000)
Tl (0.750, 0.750, 0.750)
Hg (0.250, 0.250, 0.250)
Pb (0.500, 0.500, 0.500)